1.
Density functional theory data (PBE) for crystalline ThZnSi2Ni5 at its relaxed geometry.

```
data_ThZnSi2Ni5
_space_group_name_H-M_alt 'P 1'
_space_group_IT_number 1
_space_group_name_Hall 'P 1'
_cell_length_a 3.816
_cell_length_b 3.816
_cell_length_c 9.787
_cell_angle_alpha 90.00
_cell_angle_beta 90.00
_cell_angle_gamma 90.00
loop_
_atom_site_label
_atom_site_fract_x
_atom_site_fract_y
_atom_site_fract_z
Th1 0.000 0.000 0.000
Zn1 0.000 0.000 0.500
Si1 0.500 0.500 0.224
Si2 0.500 0.500 0.776
Ni1 0.000 0.500 0.346
Ni2 0.000 0.500 0.654
Ni3 0.500 0.000 0.346
Ni4 0.500 0.000 0.654
Ni5 0.500 0.500 0.000
```

Computed properties:
VASP energy = -5.630 eV/atom
SG = P4/mmm (123)
Density = 7.5 g cm⁻³
Total moment = 0.000 μB per formula unit
Energy relative to the elements, uncorrected = -0.247 eV per atom

***

2.
Density functional theory data (PBE) for crystalline ThZn2SiNi2 at its relaxed geometry.

```
data_ThZn2SiNi2
_space_group_name_H-M_alt 'P 1'
_space_group_IT_number 1
_space_group_name_Hall 'P 1'
_cell_length_a 4.297
_cell_length_b 4.297
_cell_length_c 5.656
_cell_angle_alpha 90.00
_cell_angle_beta 90.00
_cell_angle_gamma 90.00
loop_
_atom_site_label
_atom_site_fract_x
_atom_site_fract_y
_atom_site_fract_z
Th1 0.000 0.000 0.000
Zn1 0.500 0.500 0.242
Zn2 0.500 0.500 0.758
Si1 0.000 0.000 0.500
Ni1 0.000 0.500 0.500
Ni2 0.500 0.000 0.500
```

Computed properties:
VASP energy = -4.755 eV/atom
SG = P4/mmm (123)
Density = 8.1 g cm⁻³
Total moment = 0.000 μB per formula unit
Energy relative to the elements, uncorrected = -0.262 eV per atom

***

3.
Density functional theory data (PBE) for crystalline ThZrSi2Ni2 at its relaxed geometry.

```
data_ThZrSi2Ni2
_space_group_name_H-M_alt 'P 1'
_space_group_IT_number 1
_space_group_name_Hall 'P 1'
_cell_length_a 4.059
_cell_length_b 4.059
_cell_length_c 7.337
_cell_angle_alpha 90.00
_cell_angle_beta 90.00
_cell_angle_gamma 120.00
loop_
_atom_site_label
_atom_site_fract_x
_atom_site_fract_y
_atom_site_fract_z
Th1 0.000 0.000 0.000
Zr1 0.000 0.000 0.500
Si1 0.333 0.667 0.278
Si2 0.667 0.333 0.722
Ni1 0.333 0.667 0.705
Ni2 0.667 0.333 0.295
```

Computed properties:
VASP energy = -7.215 eV/atom
SG = P-3m1 (164)
Density = 7.9 g cm⁻³
Total moment = 0.000 μB per formula unit
Energy relative to the elements, uncorrected = -0.819 eV per atom

***

4.
Density functional theory data (PBE) for crystalline TiSi2Ni at its relaxed geometry.

```
data_TiSi2Ni
_space_group_name_H-M_alt 'P 1'
_space_group_IT_number 1
_space_group_name_Hall 'P 1'
_cell_length_a 3.813
_cell_length_b 3.813
_cell_length_c 3.530
_cell_angle_alpha 90.00
_cell_angle_beta 90.00
_cell_angle_gamma 90.00
loop_
_atom_site_label
_atom_site_fract_x
_atom_site_fract_y
_atom_site_fract_z
Ti1 0.000 0.000 0.000
Si1 0.000 0.500 0.500
Si2 0.500 0.000 0.500
Ni1 0.500 0.500 0.000
```

Computed properties:
VASP energy = -6.635 eV/atom
SG = P4/mmm (123)
Density = 5.3 g cm⁻³
Total moment = 0.000 μB per formula unit
Energy relative to the elements, uncorrected = -0.504 eV per atom